Density functional theory data (PBE-GGA) for a relaxed Mg2ZnPb crystal.

Geometry as CIF:
```
data_Mg2ZnPb
_symmetry_space_group_name_H-M 'C 1 2/m 1'
_symmetry_Int_Tables_number 12
_cell_length_a 6.325
_cell_length_b 9.659
_cell_length_c 3.308
_cell_angle_alpha 90.00
_cell_angle_beta 112.19
_cell_angle_gamma 90.00
loop_
_symmetry_equiv_pos_as_xyz
'x,y,z'
'-x,-y,-z'
'-x,y,-z'
'x,-y,z'
'x+1/2,y+1/2,z'
'-x+1/2,-y+1/2,-z'
'-x+1/2,y+1/2,-z'
'x+1/2,-y+1/2,z'
loop_
_atom_site_label
_atom_site_fract_x
_atom_site_fract_y
_atom_site_fract_z
Mg1 0.250 0.250 0.000
Zn1 0.000 0.000 0.500
Pb1 0.000 0.500 0.500
```


Density functional theory data (PBE-GGA) for a relaxed Al3CdNi crystal.

## Properties
distance to the lowest polymorph of the same formula	1189	meV/atom

Geometry as CIF:
```
data_Al3CdNi
_symmetry_space_group_name_H-M 'P m -3 m'
_symmetry_Int_Tables_number 221
_symmetry_space_group_name_Hall '-P 4 2 3'
_cell_length_a 4.941
_cell_length_b 4.941
_cell_length_c 4.941
_cell_angle_alpha 90.00
_cell_angle_beta 90.00
_cell_angle_gamma 90.00
loop_
_atom_site_label
_atom_site_fract_x
_atom_site_fract_y
_atom_site_fract_z
Al1 0.000 0.000 0.500
Cd1 0.000 0.000 0.000
Ni1 0.500 0.500 0.500
```


Density functional theory data (PBE-GGA) for a relaxed CoIr3 crystal.

Geometry as CIF:
```
data_CoIr3
_symmetry_space_group_name_H-M 'P m m 2'
_symmetry_Int_Tables_number 25
_cell_length_a 2.729
_cell_length_b 4.336
_cell_length_c 4.684
_cell_angle_alpha 90.00
_cell_angle_beta 90.00
_cell_angle_gamma 90.00
loop_
_symmetry_equiv_pos_as_xyz
'x,y,z'
'-x,-y,z'
'-x,y,z'
'x,-y,z'
loop_
_atom_site_label
_atom_site_fract_x
_atom_site_fract_y
_atom_site_fract_z
Co1 0.000 0.000 0.000
Ir1 0.000 0.500 0.329
Ir2 0.500 0.000 0.501
Ir3 0.500 0.500 0.837
```


| no. | formation energy (meV/atom) | raw total energy (eV/atom) |
| --- | --- | --- |
| 1 | 73 | -1.970 |
| 2 | 1157 | -2.427 |
| 3 | 43 | -8.379 |